Entry 1:
# KTcPt

A relaxed KTcPt crystal (PBE, the Alexandria database).

Computed properties:
ΔE to the lowest computed polymorph   1440 meV per atom
Energy of formation   4.74 eV per formula unit
Total moment   6.62 Bohr magnetons per cell
Raw total energy   -25.5 eV/cell
Mass density   3.87 Mg/m³

Cell: 5.8748 5.8748 9.5452 Å, 90.00 90.00 120.00°
With the nearest neighbours (Å) after each atom.
Sites, in units of the cell vectors:
K  0.3333  0.6667  0.2500  3 Tc 3.39
K  0.6667  0.3333  0.7500  3 Tc 3.39
Tc  0.0000  0.0000  0.2500  2 Pt 2.39
Tc  0.0000  0.0000  0.7500  2 Pt 2.39
Pt  0.0000  0.0000  0.0000  2 Tc 2.39
Pt  0.0000  0.0000  0.5000  2 Tc 2.39



Entry 2:
# KTePt4

A relaxed KTePt4 crystal (PBE, the Alexandria database).

Computed properties:
Total moment   0.00 Bohr magnetons per cell
Raw total energy   -28.3 eV/cell
Formation energy (no corrections)   22 meV/atom
Mass density   13.52 Mg/m³

Cell: 5.4796 5.4796 5.4796 Å, 60.00 60.00 60.00°
With the nearest neighbours (Å) after each atom.
Sites, in units of the cell vectors:
K  0.0000  0.0000  0.0000  12 Pt 3.21, 4 Te 3.36
Te  0.2500  0.2500  0.2500  12 Pt 3.21, 4 K 3.36
Pt  0.1256  0.6248  0.6248  6 Pt 2.74
Pt  0.6248  0.1256  0.6248  6 Pt 2.74
Pt  0.6248  0.6248  0.1256  6 Pt 2.74
Pt  0.6248  0.6248  0.6248  6 Pt 2.74



Entry 3:
# KTe2Pt

A relaxed KTe2Pt crystal (PBE, the Alexandria database).

Computed properties:
Total moment   0.00 Bohr magnetons per cell
Raw total energy   -51.6 eV/cell
Formation energy (no corrections)   128 meV/atom
Mass density   8.03 Mg/m³

Cell: 7.3963 7.3963 7.3963 Å, 90.00 90.00 90.00°
With the nearest neighbours (Å) after each atom.
Sites, in units of the cell vectors:
K  0.0000  0.0000  0.0000  8 Te 3.20
K  0.0000  0.5000  0.5000  8 Te 3.20
K  0.5000  0.0000  0.5000  8 Te 3.20
K  0.5000  0.5000  0.0000  8 Te 3.20
Te  0.2500  0.2500  0.2500  4 K 3.20, 4 Pt 3.20
Te  0.2500  0.2500  0.7500  4 K 3.20, 4 Pt 3.20
Te  0.2500  0.7500  0.2500  4 K 3.20, 4 Pt 3.20
Te  0.2500  0.7500  0.7500  4 K 3.20, 4 Pt 3.20
Te  0.7500  0.2500  0.2500  4 K 3.20, 4 Pt 3.20
Te  0.7500  0.2500  0.7500  4 K 3.20, 4 Pt 3.20
Te  0.7500  0.7500  0.2500  4 K 3.20, 4 Pt 3.20
Te  0.7500  0.7500  0.7500  4 K 3.20, 4 Pt 3.20
Pt  0.0000  0.0000  0.5000  8 Te 3.20
Pt  0.0000  0.5000  0.0000  8 Te 3.20
Pt  0.5000  0.0000  0.0000  8 Te 3.20
Pt  0.5000  0.5000  0.5000  8 Te 3.20